Record 1
{
  "formula": "PmHfIrAu",
  "functional": "GGA-PBE",
  "state": "optimized geometry",
  "density_g_cm3": 14.16,
  "e_form_ev_per_atom": -0.548,
  "e_tot_ev_per_atom": -7.259,
  "crystal_system": "cubic",
  "cell": [[6.9403, 0.0000, 0.0000], [0.0000, 6.9403, 0.0000], [0.0000, 0.0000, 6.9403]],
  "species": ["Pm", "Pm", "Pm", "Pm", "Hf", "Hf", "Hf", "Hf", "Ir", "Ir", "Ir", "Ir", "Au", "Au", "Au", "Au"],
  "fractional_positions": [[0.0000, 0.0000, 0.0000], [0.0000, 0.5000, 0.5000], [0.5000, 0.0000, 0.5000], [0.5000, 0.5000, 0.0000], [0.0000, 0.0000, 0.5000], [0.0000, 0.5000, 0.0000], [0.5000, 0.0000, 0.0000], [0.5000, 0.5000, 0.5000], [0.2500, 0.2500, 0.7500], [0.2500, 0.7500, 0.2500], [0.7500, 0.2500, 0.2500], [0.7500, 0.7500, 0.7500], [0.2500, 0.2500, 0.2500], [0.2500, 0.7500, 0.7500], [0.7500, 0.2500, 0.7500], [0.7500, 0.7500, 0.2500]]
}

Record 2
{
  "formula": "PuHfIrAu",
  "functional": "GGA-PBE",
  "state": "optimized geometry",
  "density_g_cm3": 16.61,
  "e_form_ev_per_atom": -0.407,
  "e_tot_ev_per_atom": -9.513,
  "crystal_system": "cubic",
  "cell": [[6.8720, 0.0000, 0.0000], [0.0000, 6.8720, 0.0000], [0.0000, 0.0000, 6.8720]],
  "species": ["Pu", "Pu", "Pu", "Pu", "Hf", "Hf", "Hf", "Hf", "Ir", "Ir", "Ir", "Ir", "Au", "Au", "Au", "Au"],
  "fractional_positions": [[0.0000, 0.0000, 0.0000], [0.0000, 0.5000, 0.5000], [0.5000, 0.0000, 0.5000], [0.5000, 0.5000, 0.0000], [0.0000, 0.0000, 0.5000], [0.0000, 0.5000, 0.0000], [0.5000, 0.0000, 0.0000], [0.5000, 0.5000, 0.5000], [0.2500, 0.2500, 0.2500], [0.2500, 0.7500, 0.7500], [0.7500, 0.2500, 0.7500], [0.7500, 0.7500, 0.2500], [0.2500, 0.2500, 0.7500], [0.2500, 0.7500, 0.2500], [0.7500, 0.2500, 0.2500], [0.7500, 0.7500, 0.7500]]
}